Here is an optimized crystal structure of SrCdBi2 from Alexandria via LeMat-Bulk. Energies are from PBE-GGA.

Summary:
The value obtained for the calculated formation energy is -0.3701 eV per atom.

Geometry as CIF:
```
data_SrCdBi2
_cell_length_a 8.8318
_cell_length_b 8.8318
_cell_length_c 6.8487
_cell_angle_alpha 90.00
_cell_angle_beta 90.00
_cell_angle_gamma 90.00
_space_group_name_H-M_alt 'I -4 2 d'
_space_group_IT_number 122
_space_group_name_Hall 'I -4 2bw'
loop_
_atom_site_label
_atom_site_type_symbol
_atom_site_fract_x
_atom_site_fract_y
_atom_site_fract_z
_atom_site_occupancy
Sr1 Sr 0.0000 0.0000 0.0000 1
Cd1 Cd 0.0000 0.0000 0.5000 1
Bi1 Bi 0.2069 0.2500 0.6250 1
```